No. 1
DFT (PBE) results for a relaxed Sm5TlBi4 crystal.

```
Sm5TlBi4
1.0
-5.0757 -3.8418 0.8052
-0.8333 -2.7177 7.3455
-6.5949 3.7851 2.0535
Sm Tl Bi
5 1 4
Direct
0.8981 0.4068 0.7990 Sm
0.3049 0.7990 0.5932 Sm
0.6971 0.2010 0.4068 Sm
0.1038 0.5932 0.2010 Sm
0.5012 0.0000 0.0000 Sm
0.0013 0.0000 0.0000 Tl
0.4014 0.3993 0.7999 Bi
0.8007 0.7999 0.6007 Bi
0.2013 0.2001 0.3993 Bi
0.6006 0.6007 0.2001 Bi
```

Results
**Total magnetization**: 0.0 μB per formula unit
**Electronic total energy**: -4.90 eV per atom
**Volume**: 33.2 A^3/atom
**Fermi-level density of states**: 5.9 states/eV/cell
**Energy relative to the elements**: -7.51 eV per formula unit

=====

No. 2
DFT (PBE) results for a relaxed K2LaPt crystal.

```
K2LaPt
1.0
7.7024 0.0497 -0.0169
3.8326 6.6813 0.0169
-4.8898 -4.8698 3.4213
K La Pt
2 1 1
Direct
0.0732 0.0732 0.0000 K
0.7380 0.2380 0.5000 K
0.4114 0.4114 0.0000 La
0.2773 0.7773 0.5000 Pt
```

Results
**Total magnetization**: 0.0 μB per formula unit
**Electronic total energy**: -3.42 eV per atom
**Volume**: 44.0 A^3/atom
**Fermi-level density of states**: 3.1 states/eV/cell
**E above lowest polymorph**: 249 meV/atom
**Energy relative to the elements**: -0.53 eV per formula unit